Density functional theory data (PBE) for crystalline Ba2NdOsS6 at its relaxed geometry.

Cell lengths 7.040, 7.045, 7.156 Å; angles 119.25, 119.46, 90.01 degrees
Fractional positions:
Ba1 0.249 0.249 0.000
Ba2 0.751 0.751 0.000
Nd1 0.000 0.500 0.500
Os1 0.500 0.000 0.500
S1 0.214 0.827 0.503
S2 0.264 0.771 0.036
S3 0.328 0.290 0.506
S4 0.672 0.710 0.494
S5 0.736 0.229 0.964
S6 0.786 0.173 0.497

Calculated values
Its symmetry is No. 2. As for the total magnetic moment: 2.7 μB/cell. The calculation puts the total energy at -5.719 eV/atom. The crystal system is triclinic.